Compound: ScTc2Rh
Source: Alexandria via LeMat-Bulk
Functional: PBE-GGA
Structure: optimized geometry

Results
- crystal system = orthorhombic
- E_form (meV per atom) = 39
- total DFT energy (no corrections) (eV/cell) = -34.26

Lattice parameters (Å, degrees): 2.785 4.238 5.386 90.00 90.00 90.00
Space group Pmmm (No. 47)
Asymmetric unit:
Sc  0.000  0.000  0.000 x1
Tc  0.500  0.500  0.271 x2
Rh  0.000  0.000  0.500 x1